This record from OQMD via LeMat-Bulk describes a relaxed LuFeSiTc crystal. The functional is PBE.

Cell: 4.4983 4.4983 4.4983 Å, 60.00 60.00 60.00°
Fractional coordinates of all 4 atoms:
Tc1 0.5000 0.5000 0.5000
Lu1 0.2500 0.2500 0.2500
Si1 0.0000 0.0000 0.0000
Fe1 0.7500 0.7500 0.7500

Calculated values
Its space group is F-43m, No. 216. The value obtained for the total energy is -7.0174 eV per atom.